Record 1
First-principles (PBE) data for Sn2Ge2Cl after structural relaxation, as listed in the Alexandria database.

abc: 8.5123 8.5123 8.5123
angles: 153.07 153.07 38.45
Atoms (fractional coordinates):
Sn  0.1101  0.1101  0.0000
Sn  0.8899  0.8899  0.0000
Ge  0.2500  0.7500  0.5000
Ge  0.7500  0.2500  0.5000
Cl  0.5000  0.5000  0.0000

D(E_F) in states/eV/cell: 1.0
Total magnetic moment in μB/cell: 0.0
Formation energy (no corrections) in meV/atom: -102

=====

Record 2
First-principles (PBE) data for Y4Tc after structural relaxation, as listed in the Alexandria database.

abc: 5.4069 5.4069 5.4069
angles: 90.00 90.00 90.00
Atoms (fractional coordinates):
Y  0.0000  0.0000  0.0000
Y  0.0000  0.5000  0.5000
Y  0.5000  0.0000  0.5000
Y  0.5000  0.5000  0.0000
Tc  0.5000  0.5000  0.5000

D(E_F) in states/eV/cell: 7.8
Total magnetic moment in μB/cell: 0.0
Calculated formation energy in eV per atom: 0.151

=====

Record 3
First-principles (PBE) data for AcPu2Cd after structural relaxation, as listed in the Alexandria database.

abc: 3.9467 3.9467 8.0487
angles: 90.00 90.00 90.00
Atoms (fractional coordinates):
Ac  0.0000  0.0000  0.0000
Pu  0.5000  0.5000  0.2943
Pu  0.5000  0.5000  0.7057
Cd  0.0000  0.0000  0.5000

D(E_F) in states/eV/cell: 15.8
Total magnetic moment in μB/cell: 12.6
Calculated formation energy in eV per atom: 0.197

=====

Record 4
First-principles (PBE) data for Li2Pd3Pt2 after structural relaxation, as listed in the Alexandria database.

abc: 4.7993 4.5345 9.4623
angles: 90.00 98.37 90.00
Atoms (fractional coordinates):
Li  0.0839  0.0095  0.1365
Li  0.0839  0.4905  0.6365
Li  0.9161  0.5095  0.3635
Li  0.9161  0.9905  0.8635
Pd  0.3275  0.5138  0.2164
Pd  0.3275  0.9862  0.7164
Pd  0.5000  0.0000  0.0000
Pd  0.5000  0.5000  0.5000
Pd  0.6725  0.0138  0.2836
Pd  0.6725  0.4862  0.7836
Pt  0.2160  0.0018  0.4240
Pt  0.2160  0.4982  0.9240
Pt  0.7840  0.5018  0.0760
Pt  0.7840  0.9982  0.5760

D(E_F) in states/eV/cell: 11.8
Total magnetic moment in μB/cell: 0.0
Calculated formation energy in eV per atom: -0.274

=====

Record 5
First-principles (PBE) data for Li2PmBeO4 after structural relaxation, as listed in the Alexandria database.

abc: 4.7520 4.7520 4.7520
angles: 114.67 114.67 99.52
Atoms (fractional coordinates):
Li  0.2500  0.7500  0.5000
Li  0.7500  0.2500  0.5000
Pm  0.0000  0.0000  0.0000
Be  0.5000  0.5000  0.0000
O  0.1623  0.1623  0.6163
O  0.4540  0.8377  0.0000
O  0.5460  0.5460  0.3837
O  0.8377  0.4540  0.0000

D(E_F) in states/eV/cell: 4.2
Total magnetic moment in μB/cell: 1.0
Formation energy (no corrections) in meV/atom: -2317

=====

Record 6
First-principles (PBE) data for Cr2FeCu after structural relaxation, as listed in the Alexandria database.

abc: 4.3044 4.3044 4.3044
angles: 128.19 128.19 76.32
Atoms (fractional coordinates):
Cr  0.0000  0.0000  0.0000
Cr  0.7500  0.2500  0.5000
Fe  0.2500  0.7500  0.5000
Cu  0.5000  0.5000  0.0000

D(E_F) in states/eV/cell: 3.3
Total magnetic moment in μB/cell: 2.7
Calculated formation energy in eV per atom: 0.245

=====

Record 7
First-principles (PBE) data for Li4PrHg8 after structural relaxation, as listed in the Alexandria database.

abc: 7.5379 7.5379 7.5379
angles: 97.90 97.90 136.48
Atoms (fractional coordinates):
Li  0.0000  0.0000  0.5000
Li  0.0000  0.5000  0.0000
Li  0.5000  0.0000  0.0000
Li  0.5000  0.5000  0.5000
Pr  0.0000  0.0000  0.0000
Hg  0.0000  0.3376  0.3376
Hg  0.0000  0.6624  0.6624
Hg  0.2856  0.5000  0.7856
Hg  0.3376  0.0000  0.3376
Hg  0.5000  0.2856  0.7856
Hg  0.5000  0.7144  0.2144
Hg  0.6624  0.0000  0.6624
Hg  0.7144  0.5000  0.2144

D(E_F) in states/eV/cell: 6.6
Total magnetic moment in μB/cell: 0.0
Calculated formation energy in eV per atom: -0.300

=====

Record 8
First-principles (PBE) data for LiBe2Se after structural relaxation, as listed in the Alexandria database.

abc: 4.8903 4.8903 4.8903
angles: 138.52 138.23 60.33
Atoms (fractional coordinates):
Li  0.0000  0.0000  0.0000
Be  0.2513  0.7513  0.5000
Be  0.7487  0.2487  0.5000
Se  0.5000  0.5000  0.0000

D(E_F) in states/eV/cell: 1.0
Total magnetic moment in μB/cell: 0.0
Formation energy (no corrections) in meV/atom: 159

=====

Record 9
First-principles (PBE) data for Pu4GaSi after structural relaxation, as listed in the Alexandria database.

abc: 3.0933 5.0106 8.6353
angles: 90.00 90.00 90.00
Atoms (fractional coordinates):
Pu  0.0000  0.0000  0.1639
Pu  0.0000  0.0000  0.8361
Pu  0.0000  0.5000  0.3293
Pu  0.0000  0.5000  0.6707
Ga  0.5000  0.0000  0.5000
Si  0.5000  0.5000  0.0000

D(E_F) in states/eV/cell: 17.2
Total magnetic moment in μB/cell: 23.2
Formation energy (no corrections) in meV/atom: -33

=====

Record 10
First-principles (PBE) data for Th3BiPSe after structural relaxation, as listed in the Alexandria database.

abc: 7.6186 4.2029 11.5924
angles: 90.00 106.00 90.00
Atoms (fractional coordinates):
Th  0.1743  0.2500  0.1473
Th  0.2620  0.7500  0.4998
Th  0.3193  0.7500  0.8686
Th  0.6807  0.2500  0.1314
Th  0.7380  0.2500  0.5002
Th  0.8257  0.7500  0.8527
Bi  0.4976  0.2500  0.7008
Bi  0.5024  0.7500  0.2992
P  0.0872  0.2500  0.8921
P  0.9128  0.7500  0.1079
Se  0.0132  0.2500  0.3614
Se  0.9868  0.7500  0.6386

D(E_F) in states/eV/cell: 9.1
Total magnetic moment in μB/cell: 0.0
Formation energy (no corrections) in meV/atom: -1026

=====

Record 11
First-principles (PBE) data for ZnCoW2 after structural relaxation, as listed in the Alexandria database.

abc: 9.0577 9.0577 9.0577
angles: 17.41 17.41 17.41
Atoms (fractional coordinates):
Zn  0.0000  0.0000  0.0000
Co  0.5000  0.5000  0.5000
W  0.2453  0.2453  0.2453
W  0.7547  0.7547  0.7547

D(E_F) in states/eV/cell: 4.2
Total magnetic moment in μB/cell: 0.4
Calculated formation energy in eV per atom: 0.307

=====

Record 12
First-principles (PBE) data for K2ZnIr after structural relaxation, as listed in the Alexandria database.

abc: 2.7084 4.7416 8.4292
angles: 90.00 90.00 90.00
Atoms (fractional coordinates):
K  0.0000  0.0000  0.2211
K  0.0000  0.0000  0.7789
Zn  0.5000  0.5000  0.5000
Ir  0.5000  0.5000  0.0000

D(E_F) in states/eV/cell: 2.7
Total magnetic moment in μB/cell: 0.0
Calculated formation energy in eV per atom: 0.668